No. 1
## Tb6Dy3In (GGA-PBE)

Data for Tb6Dy3In after structural relaxation.

```
data_Tb6Dy3In
_symmetry_space_group_name_H-M 'P 1 21/m 1'
_symmetry_Int_Tables_number 11
_cell_length_a 12.763
_cell_length_b 3.488
_cell_length_c 14.200
_cell_angle_alpha 90.00
_cell_angle_beta 100.42
_cell_angle_gamma 90.00
loop_
_symmetry_equiv_pos_as_xyz
'x,y,z'
'-x,-y,-z'
'-x,y+1/2,-z'
'x,-y+1/2,z'
loop_
_atom_site_label
_atom_site_type_symbol
_atom_site_fract_x
_atom_site_fract_y
_atom_site_fract_z
_atom_site_occupancy
Tb1 Tb 0.010 0.250 0.309 1
Tb2 Tb 0.159 0.250 0.883 1
Tb3 Tb 0.252 0.750 0.306 1
Tb4 Tb 0.274 0.750 0.714 1
Tb5 Tb 0.310 0.750 0.077 1
Tb6 Tb 0.387 0.250 0.532 1
Dy1 Dy 0.078 0.250 0.097 1
Dy2 Dy 0.129 0.750 0.502 1
Dy3 Dy 0.427 0.250 0.896 1
In1 In 0.467 0.250 0.277 1
```

ΔH_f (0 K): -0.23 kcal/mol of atoms
ρ: 8.31 Mg/m³
Fermi-level density of states: 14.189 states/eV/f.u.

No. 2
## TbDyIn6 (GGA-PBE)

Data for TbDyIn6 after structural relaxation.

```
data_TbDyIn6
_symmetry_space_group_name_H-M 'P 4/m m m'
_symmetry_Int_Tables_number 123
_symmetry_space_group_name_Hall '-P 4 2'
_cell_length_a 4.641
_cell_length_b 4.641
_cell_length_c 9.282
_cell_angle_alpha 90.00
_cell_angle_beta 90.00
_cell_angle_gamma 90.00
loop_
_atom_site_label
_atom_site_type_symbol
_atom_site_fract_x
_atom_site_fract_y
_atom_site_fract_z
_atom_site_occupancy
Tb1 Tb 0.000 0.000 0.000 1
Dy1 Dy 0.000 0.000 0.500 1
In1 In 0.000 0.500 0.250 1
In2 In 0.500 0.500 0.000 1
In3 In 0.500 0.500 0.500 1
```

ΔH_f (0 K): -9.72 kcal/mol of atoms
ρ: 8.39 Mg/m³
Fermi-level density of states: 2.773 states/eV/f.u.

No. 3
## Tb3Dy2In6 (GGA-PBE)

Data for Tb3Dy2In6 after structural relaxation.

```
data_Tb3Dy2In6
_symmetry_space_group_name_H-M 'I 4/m m m'
_symmetry_Int_Tables_number 139
_symmetry_space_group_name_Hall '-I 4 2'
_cell_length_a 5.799
_cell_length_b 5.799
_cell_length_c 22.404
_cell_angle_alpha 90.00
_cell_angle_beta 90.00
_cell_angle_gamma 90.00
loop_
_atom_site_label
_atom_site_type_symbol
_atom_site_fract_x
_atom_site_fract_y
_atom_site_fract_z
_atom_site_occupancy
Tb1 Tb 0.000 0.000 0.000 1
Tb2 Tb 0.000 0.000 0.145 1
Dy1 Dy 0.000 0.000 0.423 1
In1 In 0.000 0.000 0.284 1
In2 In 0.000 0.500 0.069 1
```

ΔH_f (0 K): 2.01 kcal/mol of atoms
ρ: 6.57 Mg/m³
Fermi-level density of states: 14.038 states/eV/f.u.

No. 4
## Tb5DyIn2 (GGA-PBE)

Data for Tb5DyIn2 after structural relaxation.

```
data_Tb5DyIn2
_symmetry_space_group_name_H-M 'I m m m'
_symmetry_Int_Tables_number 71
_symmetry_space_group_name_Hall '-I 2 2'
_cell_length_a 3.557
_cell_length_b 10.607
_cell_length_c 12.693
_cell_angle_alpha 90.00
_cell_angle_beta 90.00
_cell_angle_gamma 90.00
loop_
_atom_site_label
_atom_site_type_symbol
_atom_site_fract_x
_atom_site_fract_y
_atom_site_fract_z
_atom_site_occupancy
Tb1 Tb 0.000 0.000 0.000 1
Tb2 Tb 0.000 0.273 0.366 1
Dy1 Dy 0.000 0.500 0.000 1
In1 In 0.000 0.000 0.263 1
```

ΔH_f (0 K): -3.80 kcal/mol of atoms
ρ: 8.23 Mg/m³
Fermi-level density of states: 11.358 states/eV/f.u.

No. 5
## TbDyIn3 (GGA-PBE)

Data for TbDyIn3 after structural relaxation.

```
data_TbDyIn3
_symmetry_space_group_name_H-M 'P 63/m m c'
_symmetry_Int_Tables_number 194
_symmetry_space_group_name_Hall '-P 6c 2c'
_cell_length_a 7.2962
_cell_length_b 7.2962
_cell_length_c 6.3910
_cell_angle_alpha 90.00
_cell_angle_beta 90.00
_cell_angle_gamma 120.00
loop_
_atom_site_label
_atom_site_type_symbol
_atom_site_fract_x
_atom_site_fract_y
_atom_site_fract_z
_atom_site_occupancy
Tb1 Tb 0.3333 0.6667 0.2500 1
Dy1 Dy 0.0000 0.0000 0.0000 1
In1 In 0.2026 0.4052 0.7500 1
```

ΔH_f (0 K): -3.31 kcal/mol of atoms
ρ: 7.51 Mg/m³
Fermi-level density of states: 3.625 states/eV/f.u.

No. 6
## TbDy3In3 (GGA-PBE)

Data for TbDy3In3 after structural relaxation.

```
data_TbDy3In3
_symmetry_space_group_name_H-M 'P 63/m'
_symmetry_Int_Tables_number 176
_symmetry_space_group_name_Hall '-P 6c'
_cell_length_a 9.3570
_cell_length_b 9.3570
_cell_length_c 5.1579
_cell_angle_alpha 90.00
_cell_angle_beta 90.00
_cell_angle_gamma 120.00
loop_
_atom_site_label
_atom_site_type_symbol
_atom_site_fract_x
_atom_site_fract_y
_atom_site_fract_z
_atom_site_occupancy
Tb1 Tb 0.3333 0.6667 0.2500 1
Dy1 Dy 0.0020 0.2337 0.2500 1
In1 In 0.0709 0.4543 0.7500 1
```

ΔH_f (0 K): -7.83 kcal/mol of atoms
ρ: 8.41 Mg/m³
Fermi-level density of states: 5.503 states/eV/f.u.

Question: Among the records above, which one has the highest Fermi-level density of states?
Answer: Tb6Dy3In

Question: Number 5 is which compound?
Answer: TbDyIn3

Question: What is the ρ in the first record?
Answer: 8.31 Mg/m³

Question: Among the records above, which one has the highest ΔH_f (0 K)?
Answer: Tb3Dy2In6